No. 1
Here is a relaxed structure of Li8MgAu4 from the Alexandria database. Energies are from PBE.

Formation energy from the elements: -0.378 eV/atom
Magnetization: 0.000 μB/atom
Calculated total energy: -2.69 eV per atom
SG: Pmm2, No. 25
Crystal system: orthorhombic

Unit cell a=4.5121 b=2.8733 c=16.6652 alpha=90.00 beta=90.00 gamma=90.00
With the nearest neighbours (Å) after each atom.
Sites, in units of the cell vectors:
Mg1 0.0000 0.0000 0.3458  3 Li 2.60-2.78, 2 Mg 2.87
Li1 0.5000 0.5000 0.0330  4 Au 2.70, 4 Li 2.87-2.94
Li2 0.0000 0.5000 0.9201  6 Au 2.64-2.79, 6 Li 2.77-2.94
Li3 0.0000 0.0000 0.7780  4 Au 2.71-2.76, 8 Li 2.77-2.87
Li4 0.5000 0.0000 0.2484  2 Mg 2.78, 6 Li 2.87-2.91
Li5 0.5000 0.0000 0.5778  4 Li 2.59-2.87, 4 Au 2.87
Li6 0.0000 0.0000 0.5017  4 Li 2.59-2.87, 1 Mg 2.60, 2 Au 2.72
Li7 0.5000 0.5000 0.7333  4 Au 2.73-2.74, 8 Li 2.78-2.96
Li8 0.0000 0.5000 0.1803  2 Au 2.56
Au1 0.5000 0.5000 0.4183  2 Au 2.87, 4 Mg 2.93, 8 Li 3.01-3.18
Au2 0.5000 0.0000 0.8730  10 Li 2.73-3.03, 2 Au 2.87
Au3 0.0000 0.5000 0.6401  10 Li 2.71-2.87, 2 Au 2.87
Au4 0.0000 0.0000 0.0532  8 Li 2.56-2.70

***

No. 2
Here is a relaxed structure of Li3Mg2Au3 from the Alexandria database. Energies are from PBE.

Formation energy from the elements: -0.464 eV/atom
Magnetization: 0.000 μB/atom
Calculated total energy: -2.81 eV per atom
SG: P6_3/mcm, No. 193
Crystal system: hexagonal

Unit cell a=5.6812 b=7.8500 c=7.8500 alpha=120.00 beta=90.00 gamma=90.00
With the nearest neighbours (Å) after each atom.
Sites, in units of the cell vectors:
Li1 0.2500 0.0000 0.7395  5 Au 2.69-3.01
Li2 0.7500 0.0000 0.2605  5 Au 2.69-3.01
Li3 0.7500 0.2605 0.0000  5 Au 2.69-3.01
Li4 0.7500 0.7395 0.7395  5 Au 2.69-3.01
Li5 0.2500 0.2605 0.2605  5 Au 2.69-3.01
Li6 0.2500 0.7395 0.0000  5 Au 2.69-3.01
Mg1 0.0000 0.6667 0.3333  6 Au 2.81, 2 Mg 2.84
Mg2 0.5000 0.6667 0.3333  6 Au 2.81, 2 Mg 2.84
Mg3 0.0000 0.3333 0.6667  6 Au 2.81, 2 Mg 2.84
Mg4 0.5000 0.3333 0.6667  6 Au 2.81, 2 Mg 2.84
Au1 0.7500 0.6115 0.0000  5 Li 2.69-3.01, 4 Mg 2.81
Au2 0.2500 0.3885 0.0000  5 Li 2.69-3.01, 4 Mg 2.81
Au3 0.2500 0.0000 0.3885  5 Li 2.69-3.01, 4 Mg 2.81
Au4 0.7500 0.3885 0.3885  5 Li 2.69-3.01, 4 Mg 2.81
Au5 0.2500 0.6115 0.6115  5 Li 2.69-3.01, 4 Mg 2.81
Au6 0.7500 0.0000 0.6115  5 Li 2.69-3.01, 4 Mg 2.81